(A)
Compound: Mg2Co3O8
Source: the Alexandria database
Functional: GGA+U
Structure: relaxed

Cell lengths 5.714, 5.714, 9.327 Å; angles 90.00, 90.00, 120.00 degrees
Atoms (fractional coordinates):
Mg 0.333 0.667 0.000
Mg 0.333 0.667 0.402
Mg 0.667 0.333 0.500
Mg 0.667 0.333 0.902
Co 0.164 0.328 0.723
Co 0.164 0.836 0.723
Co 0.328 0.164 0.223
Co 0.672 0.836 0.723
Co 0.836 0.164 0.223
Co 0.836 0.672 0.223
O 0.000 0.000 0.329
O 0.000 0.000 0.829
O 0.038 0.519 0.838
O 0.157 0.315 0.125
O 0.157 0.843 0.125
O 0.315 0.157 0.625
O 0.333 0.667 0.616
O 0.481 0.519 0.838
O 0.481 0.962 0.838
O 0.519 0.038 0.338
O 0.519 0.481 0.338
O 0.667 0.333 0.116
O 0.685 0.843 0.125
O 0.843 0.157 0.625
O 0.843 0.685 0.625
O 0.962 0.481 0.338

Values from the calculation:
SG: No. 186

=====

(B)
Compound: Mg2Co3O8
Source: the Alexandria database
Functional: GGA+U
Structure: relaxed

Cell lengths 5.785, 5.785, 4.807 Å; angles 106.94, 106.94, 58.55 degrees
Atoms (fractional coordinates):
Mg 0.226 0.226 0.157
Mg 0.774 0.774 0.843
Co 0.242 0.758 0.500
Co 0.500 0.500 0.000
Co 0.758 0.242 0.500
O 0.102 0.102 0.425
O 0.162 0.614 0.099
O 0.386 0.838 0.901
O 0.395 0.395 0.587
O 0.605 0.605 0.413
O 0.614 0.162 0.099
O 0.838 0.386 0.901
O 0.898 0.898 0.575

Values from the calculation:
SG: No. 12

=====

Most favorable structure: (A). The second most favorable one is 28 meV per atom above it.

=====

(A)
Compound: Mg3CoO
Source: the Alexandria database
Functional: GGA+U
Structure: relaxed

Cell lengths 4.227, 4.227, 4.227 Å; angles 90.00, 90.00, 90.00 degrees
Atoms (fractional coordinates):
Mg 0.000 0.000 0.500
Mg 0.000 0.500 0.000
Mg 0.500 0.000 0.000
Co 0.500 0.500 0.500
O 0.000 0.000 0.000

Values from the calculation:
SG: No. 221

=====

(B)
Compound: Mg3CoO
Source: the Alexandria database
Functional: GGA+U
Structure: relaxed

Cell lengths 4.609, 4.609, 4.609 Å; angles 90.00, 90.00, 90.00 degrees
Atoms (fractional coordinates):
Mg 0.000 0.000 0.500
Mg 0.000 0.500 0.000
Mg 0.500 0.000 0.000
Co 0.000 0.000 0.000
O 0.500 0.500 0.500

Values from the calculation:
SG: No. 221

=====

Most favorable structure: (A). The second most favorable one is 1469 meV per atom above it.

=====

(A)
Compound: MgCoP2O
Source: the Alexandria database
Functional: GGA+U
Structure: relaxed

Cell lengths 4.957, 4.957, 3.618 Å; angles 90.00, 90.00, 90.00 degrees
Atoms (fractional coordinates):
Mg 0.000 0.000 0.000
Co 0.500 0.500 0.500
P 0.000 0.500 0.000
P 0.500 0.000 0.000
O 0.000 0.000 0.500

Values from the calculation:
SG: No. 123

=====

(B)
Compound: MgCoP2O
Source: the Alexandria database
Functional: GGA+U
Structure: relaxed

Cell lengths 4.743, 4.743, 3.422 Å; angles 90.00, 90.00, 90.00 degrees
Atoms (fractional coordinates):
Mg 0.000 0.000 0.000
Co 0.500 0.500 0.500
P 0.000 0.500 0.500
P 0.500 0.000 0.500
O 0.500 0.500 0.000

Values from the calculation:
SG: No. 123

=====

Most favorable structure: (B). The second most favorable one is 562 meV per atom above it.

=====

(A)
Compound: Mg6CoSiO8
Source: the Alexandria database
Functional: GGA+U
Structure: relaxed

Cell lengths 4.296, 4.296, 8.495 Å; angles 90.00, 90.00, 90.00 degrees
Atoms (fractional coordinates):
Mg 0.000 0.000 0.000
Mg 0.000 0.000 0.500
Mg 0.000 0.500 0.240
Mg 0.000 0.500 0.760
Mg 0.500 0.000 0.240
Mg 0.500 0.000 0.760
Co 0.500 0.500 0.000
Si 0.500 0.500 0.500
O 0.000 0.000 0.252
O 0.000 0.000 0.748
O 0.000 0.500 0.000
O 0.000 0.500 0.500
O 0.500 0.000 0.000
O 0.500 0.000 0.500
O 0.500 0.500 0.283
O 0.500 0.500 0.717

Values from the calculation:
SG: No. 123

=====

(B)
Compound: Mg6CoSiO8
Source: the Alexandria database
Functional: GGA+U
Structure: relaxed

Cell lengths 4.269, 4.269, 8.633 Å; angles 90.00, 90.00, 90.00 degrees
Atoms (fractional coordinates):
Mg 0.000 0.000 0.000
Mg 0.000 0.500 0.250
Mg 0.000 0.500 0.750
Mg 0.500 0.000 0.250
Mg 0.500 0.000 0.750
Mg 0.500 0.500 0.000
Co 0.000 0.000 0.500
Si 0.500 0.500 0.500
O 0.000 0.000 0.240
O 0.000 0.000 0.760
O 0.000 0.500 0.000
O 0.000 0.500 0.500
O 0.500 0.000 0.000
O 0.500 0.000 0.500
O 0.500 0.500 0.253
O 0.500 0.500 0.747

Values from the calculation:
SG: No. 123

=====

Most favorable structure: (A). The second most favorable one is 14 meV per atom above it.

=====

(A)
Compound: MgCoSiO4
Source: the Alexandria database
Functional: GGA+U
Structure: relaxed

Cell lengths 10.285, 6.090, 4.817 Å; angles 90.00, 90.00, 90.00 degrees
Atoms (fractional coordinates):
Mg 0.000 0.000 0.000
Mg 0.000 0.500 0.000
Mg 0.500 0.000 0.500
Mg 0.500 0.500 0.500
Co 0.225 0.250 0.498
Co 0.275 0.750 0.998
Co 0.725 0.250 0.002
Co 0.775 0.750 0.502
Si 0.094 0.750 0.427
Si 0.406 0.250 0.927
Si 0.594 0.750 0.073
Si 0.906 0.250 0.573
O 0.054 0.250 0.724
O 0.090 0.750 0.766
O 0.161 0.533 0.276
O 0.161 0.967 0.276
O 0.339 0.033 0.776
O 0.339 0.467 0.776
O 0.410 0.250 0.266
O 0.446 0.750 0.224
O 0.554 0.250 0.776
O 0.590 0.750 0.734
O 0.661 0.533 0.224
O 0.661 0.967 0.224
O 0.839 0.033 0.724
O 0.839 0.467 0.724
O 0.910 0.250 0.234
O 0.946 0.750 0.276

Values from the calculation:
SG: No. 62

=====

(B)
Compound: MgCoSiO4
Source: the Alexandria database
Functional: GGA+U
Structure: relaxed

Cell lengths 5.106, 5.106, 6.271 Å; angles 90.00, 90.00, 112.79 degrees
Atoms (fractional coordinates):
Mg 0.167 0.833 0.750
Mg 0.833 0.167 0.250
Co 0.500 0.500 0.000
Co 0.500 0.500 0.500
Si 0.150 0.850 0.250
Si 0.850 0.150 0.750
O 0.204 0.254 0.750
O 0.254 0.204 0.250
O 0.260 0.740 0.037
O 0.260 0.740 0.463
O 0.740 0.260 0.537
O 0.740 0.260 0.963
O 0.746 0.796 0.750
O 0.796 0.746 0.250

Values from the calculation:
SG: No. 63

=====

Most favorable structure: (A). The second most favorable one is 53 meV per atom above it.

=====

(A)
Compound: Mg6CoSnO8
Source: the Alexandria database
Functional: GGA+U
Structure: relaxed

Cell lengths 4.359, 4.359, 8.862 Å; angles 90.00, 90.00, 90.00 degrees
Atoms (fractional coordinates):
Mg 0.000 0.000 0.000
Mg 0.000 0.500 0.240
Mg 0.000 0.500 0.760
Mg 0.500 0.000 0.240
Mg 0.500 0.000 0.760
Mg 0.500 0.500 0.000
Co 0.000 0.000 0.500
Sn 0.500 0.500 0.500
O 0.000 0.000 0.235
O 0.000 0.000 0.765
O 0.000 0.500 0.000
O 0.000 0.500 0.500
O 0.500 0.000 0.000
O 0.500 0.000 0.500
O 0.500 0.500 0.237
O 0.500 0.500 0.763

Values from the calculation:
SG: No. 123

=====

(B)
Compound: Mg6CoSnO8
Source: the Alexandria database
Functional: GGA+U
Structure: relaxed

Cell lengths 4.394, 4.394, 8.856 Å; angles 90.00, 90.00, 90.00 degrees
Atoms (fractional coordinates):
Mg 0.000 0.000 0.000
Mg 0.000 0.000 0.500
Mg 0.000 0.500 0.231
Mg 0.000 0.500 0.769
Mg 0.500 0.000 0.231
Mg 0.500 0.000 0.769
Co 0.500 0.500 0.000
Sn 0.500 0.500 0.500
O 0.000 0.000 0.249
O 0.000 0.000 0.751
O 0.000 0.500 0.000
O 0.000 0.500 0.500
O 0.500 0.000 0.000
O 0.500 0.000 0.500
O 0.500 0.500 0.244
O 0.500 0.500 0.756

Values from the calculation:
SG: No. 123

=====

Most favorable structure: (A). The second most favorable one is 30 meV per atom above it.

=====

(A)
Compound: Mg2CoWO6
Source: the Alexandria database
Functional: GGA+U
Structure: relaxed

Cell lengths 5.574, 5.574, 5.574 Å; angles 55.66, 55.66, 55.66 degrees
Atoms (fractional coordinates):
Mg 0.000 0.000 0.000
Mg 0.499 0.499 0.499
Co 0.285 0.285 0.285
W 0.796 0.796 0.796
O 0.062 0.698 0.424
O 0.179 0.593 0.893
O 0.424 0.062 0.698
O 0.593 0.893 0.179
O 0.698 0.424 0.062
O 0.893 0.179 0.593

Values from the calculation:
SG: No. 146

=====

(B)
Compound: Mg2CoWO6
Source: the Alexandria database
Functional: GGA+U
Structure: relaxed

Cell lengths 5.181, 5.326, 9.337 Å; angles 90.00, 123.46, 90.00 degrees
Atoms (fractional coordinates):
Mg 0.225 0.047 0.230
Mg 0.225 0.453 0.730
Mg 0.775 0.547 0.270
Mg 0.775 0.953 0.770
Co 0.000 0.000 0.500
Co 0.000 0.500 0.000
W 0.500 0.000 0.000
W 0.500 0.500 0.500
O 0.134 0.178 0.951
O 0.134 0.322 0.451
O 0.241 0.700 0.908
O 0.241 0.800 0.408
O 0.401 0.088 0.770
O 0.401 0.412 0.270
O 0.599 0.588 0.730
O 0.599 0.912 0.230
O 0.759 0.200 0.592
O 0.759 0.300 0.092
O 0.866 0.678 0.549
O 0.866 0.822 0.049

Values from the calculation:
SG: No. 14

=====

Most favorable structure: (A). The second most favorable one is 37 meV per atom above it.